[1]
Density functional theory data (PBE) for IrOsBr2 after structural relaxation.

Output
- ΔE to the lowest computed polymorph (eV/f.u.) = 3.945
- formation energy from raw total energies (meV per atom) = 1380
- ρ (g/cm3) = 11.70
- calculated total energy (eV/atom) = -4.480

a = 8.5765 Å, b = 8.5765 Å, c = 8.5765 Å
α = 150.35°, β = 150.35°, γ = 42.42°
Positions (direct):
Ir  0.0000  0.0000  0.0000
Ir  0.7500  0.2500  0.5000
Os  0.2500  0.7500  0.5000
Os  0.5000  0.5000  0.0000
Br  0.1297  0.6250  0.0047
Br  0.3750  0.3797  0.5047
Br  0.6203  0.1250  0.9953
Br  0.8750  0.8703  0.4953

=====

[2]
Density functional theory data (PBE) for Ag7S2Cl2 after structural relaxation.

Output
- ΔE to the lowest computed polymorph (eV/f.u.) = 0.352
- formation energy from raw total energies (meV per atom) = -34
- ρ (g/cm3) = 6.02
- calculated total energy (eV/atom) = -2.934

a = 6.0793 Å, b = 6.0793 Å, c = 6.6480 Å
α = 90.32°, β = 90.32°, γ = 92.94°
Positions (direct):
Ag  0.0000  0.0000  0.0000
Ag  0.0008  0.5042  0.7770
Ag  0.4958  0.9992  0.2230
Ag  0.5004  0.5004  0.2900
Ag  0.4996  0.4996  0.7100
Ag  0.5042  0.0008  0.7770
Ag  0.9992  0.4958  0.2230
S  0.2854  0.2854  0.9985
S  0.7146  0.7146  0.0015
Cl  0.2020  0.7980  0.5000
Cl  0.7980  0.2020  0.5000

=====

[3]
Density functional theory data (PBE) for Ac4ZnPBr2 after structural relaxation.

Output
- formation energy from raw total energies (meV per atom) = -1068
- ρ (g/cm3) = 7.18
- calculated total energy (eV/atom) = -4.376

a = 7.8739 Å, b = 4.4446 Å, c = 8.1216 Å
α = 90.00°, β = 108.77°, γ = 90.00°
Positions (direct):
Ac  0.2301  0.0000  0.2142
Ac  0.2554  0.5000  0.7813
Ac  0.7446  0.5000  0.2187
Ac  0.7699  0.0000  0.7858
Zn  0.5000  0.0000  0.0000
P  0.0000  0.5000  0.0000
Br  0.0000  0.0000  0.5000
Br  0.5000  0.5000  0.5000

=====

> Which of these has the highest calculated total energy?

Ag7S2Cl2

=====

> Number 2 is which compound?

Ag7S2Cl2